Record 1
{"formula": "BaPmNi2As2", "functional": "PBE", "state": "optimized geometry", "total_energy_ev_per_atom": -5.480, "space_group": "No. 164", "density_g_cm3": 6.9, "lattice_angstrom": [[4.1472, 0.0000, 0.0000], [-2.0736, 3.5916, 0.0000], [0.0000, 0.0000, 8.8298]], "species": ["Ba", "Pm", "Ni", "Ni", "As", "As"], "fractional_positions": [[0.0000, 0.0000, 0.0000], [0.0000, 0.0000, 0.5000], [0.3333, 0.6667, 0.7212], [0.6667, 0.3333, 0.2788], [0.3333, 0.6667, 0.2757], [0.6667, 0.3333, 0.7243]]}

---

Record 2
{"formula": "BaPrNi2As2", "functional": "PBE", "state": "optimized geometry", "total_energy_ev_per_atom": -5.473, "space_group": "No. 164", "density_g_cm3": 6.8, "lattice_angstrom": [[4.1622, 0.0000, 0.0000], [-2.0811, 3.6046, 0.0000], [0.0000, 0.0000, 8.9199]], "species": ["Ba", "Pr", "Ni", "Ni", "As", "As"], "fractional_positions": [[0.0000, 0.0000, 0.0000], [0.0000, 0.0000, 0.5000], [0.3333, 0.6667, 0.7246], [0.6667, 0.3333, 0.2754], [0.3333, 0.6667, 0.2723], [0.6667, 0.3333, 0.7277]]}

---

Record 3
{"formula": "BaNiAsPt", "functional": "PBE", "state": "optimized geometry", "total_energy_ev_per_atom": -5.163, "space_group": "No. 129", "density_g_cm3": 8.6, "lattice_angstrom": [[3.9554, 0.0000, 0.0000], [0.0000, 3.9554, 0.0000], [0.0000, 0.0000, 11.5098]], "species": ["Ba", "Ba", "Ni", "Ni", "As", "As", "Pt", "Pt"], "fractional_positions": [[0.2500, 0.2500, 0.2247], [0.7500, 0.7500, 0.7753], [0.2500, 0.7500, 0.5000], [0.7500, 0.2500, 0.5000], [0.2500, 0.2500, 0.6109], [0.7500, 0.7500, 0.3891], [0.2500, 0.7500, 0.0000], [0.7500, 0.2500, 0.0000]]}

---

Record 4
{"formula": "BaNiAs2Rh", "functional": "PBE", "state": "optimized geometry", "total_energy_ev_per_atom": -5.578, "space_group": "No. 119", "density_g_cm3": 7.0, "lattice_angstrom": [[-2.0801, 2.0801, 6.1834], [2.0801, -2.0801, 6.1834], [2.0801, 2.0801, -6.1834]], "species": ["Ba", "Ni", "As", "As", "Rh"], "fractional_positions": [[0.0000, 0.0000, 0.0000], [0.2500, 0.7500, 0.5000], [0.3514, 0.3514, 0.0000], [0.6486, 0.6486, 0.0000], [0.7500, 0.2500, 0.5000]]}

---

What are the calculated formation energy values for these records? In order: -0.891; -0.879; -0.564; -0.707 eV/atom.